No. 1
# Dy3Ho7Pu

A relaxed Dy3Ho7Pu crystal (GGA-PBE, Alexandria via LeMat-Bulk).

The structure in extended XYZ format:
```
11
Lattice="8.481 0.000 0.000 0.000 6.975 0.000 0.000 -3.488 6.041" Properties=species:S:1:pos:R:3 pbc="T T T"
Dy 6.616 1.724 3.032
Dy 6.616 0.000 6.018
Dy 6.616 -1.724 3.032
Ho 1.024 -1.719 5.020
Ho 1.024 0.000 2.042
Ho 0.991 3.488 2.014
Ho 3.804 5.222 1.012
Ho 3.804 1.753 1.012
Ho 3.804 3.488 4.017
Ho 1.024 1.719 5.020
Pu 3.818 0.000 4.027
```

Properties
- ΔH_f (0 K) (eV/atom) = 0.21

***

No. 2
# Zn4SnRh5

A relaxed Zn4SnRh5 crystal (GGA-PBE, Alexandria via LeMat-Bulk).

The structure in extended XYZ format:
```
10
Lattice="-0.504 -2.627 1.564 2.704 -1.123 -1.013 6.939 5.841 12.046" Properties=species:S:1:pos:R:3 pbc="T T T"
Zn 1.473 1.240 2.557
Zn 2.801 2.357 4.862
Zn 4.139 3.484 7.184
Zn 5.466 4.601 9.488
Sn 0.000 0.000 0.000
Rh 1.835 -1.256 1.552
Rh 3.219 -0.091 3.954
Rh 4.570 1.046 6.298
Rh 5.920 2.183 8.643
Rh 7.304 3.347 11.045
```

Properties
- ΔH_f (0 K) (eV/atom) = -0.41

***

No. 3
# NiSN2Cl

A relaxed NiSN2Cl crystal (GGA-PBE, Alexandria via LeMat-Bulk).

The structure in extended XYZ format:
```
5
Lattice="3.438 0.000 0.000 0.000 3.438 0.000 0.000 0.000 7.233" Properties=species:S:1:pos:R:3 pbc="T T T"
Ni 1.719 1.719 3.616
S 0.000 0.000 3.616
N 0.000 1.719 0.000
N 1.719 0.000 0.000
Cl 0.000 0.000 0.000
```

Properties
- ΔE_f (raw) (meV per atom) = 2176
- energy relative to the lowest polymorph listed for this composition (eV per atom) = 0.815

***

No. 4
# Sc2SbTe

A relaxed Sc2SbTe crystal (GGA-PBE, Alexandria via LeMat-Bulk).

The structure in extended XYZ format:
```
4
Lattice="-0.827 -0.982 -5.092 3.759 -3.652 0.321 -2.109 -2.900 0.357" Properties=species:S:1:pos:R:3 pbc="T T T"
Sb 0.825 -3.276 0.339
Sc 0.000 0.000 0.000
Sc 1.466 -2.317 -2.385
Te -1.468 -1.941 -2.368
```

Properties
- ΔE_f (raw) (meV per atom) = -773
- energy relative to the lowest polymorph listed for this composition (eV per atom) = 0.284

***

No. 5
# CeInTe

A relaxed CeInTe crystal (GGA-PBE, Alexandria via LeMat-Bulk).

The structure in extended XYZ format:
```
3
Lattice="-0.943 -2.653 2.798 2.412 -2.653 -1.703 3.468 4.463 2.585" Properties=species:S:1:pos:R:3 pbc="T T T"
Te 1.794 -2.197 1.337
Ce 2.293 0.987 1.709
In 4.527 -1.020 3.374
```

Properties
- ΔE_f (raw) (meV per atom) = -589

***

No. 6
# Ac5TbDy4

A relaxed Ac5TbDy4 crystal (GGA-PBE, Alexandria via LeMat-Bulk).

The structure in extended XYZ format:
```
10
Lattice="-3.700 -0.872 -0.696 1.013 -3.636 -0.829 -3.054 -6.371 24.200" Properties=species:S:1:pos:R:3 pbc="T T T"
Ac -1.650 -2.894 1.669
Ac -2.260 -4.167 6.505
Ac -2.870 -5.439 11.337
Ac -3.480 -6.711 16.169
Ac -4.090 -7.984 21.005
Tb 0.000 0.000 0.000
Dy -0.612 -1.277 4.852
Dy -1.222 -2.550 9.685
Dy -1.832 -3.821 14.515
Dy -2.441 -5.093 19.348
```

Properties
- ΔH_f (0 K) (eV/atom) = 0.05

***

No. 7
# Ca4Se2SCl

A relaxed Ca4Se2SCl crystal (GGA-PBE, Alexandria via LeMat-Bulk).

The structure in extended XYZ format:
```
8
Lattice="5.815 0.317 0.000 -0.317 5.815 0.000 -2.749 -3.066 5.854" Properties=species:S:1:pos:R:3 pbc="T T T"
Ca 5.312 2.840 0.000
Ca 2.246 5.589 0.000
Ca -0.346 -0.386 2.778
Ca 2.403 2.680 3.077
Se -0.504 2.522 2.927
Se 2.562 -0.227 2.927
S 5.153 5.747 0.000
Cl 2.404 2.681 0.000
```

Properties
- ΔE_f (raw) (meV per atom) = -1947

***

No. 8
# InNi

A relaxed InNi crystal (GGA-PBE, Alexandria via LeMat-Bulk).

The structure in extended XYZ format:
```
2
Lattice="3.122 0.000 0.000 -1.561 2.703 0.000 0.000 0.000 3.959" Properties=species:S:1:pos:R:3 pbc="T T T"
In 0.000 0.000 0.000
Ni 1.561 0.901 1.980
```

Properties
- ΔH_f (0 K) (eV/atom) = 0.06

***

No. 9
# Ac8Nd5Y

A relaxed Ac8Nd5Y crystal (GGA-PBE, Alexandria via LeMat-Bulk).

The structure in extended XYZ format:
```
14
Lattice="8.866 0.022 -1.689 -5.028 7.122 -3.594 1.262 0.081 8.954" Properties=species:S:1:pos:R:3 pbc="T T T"
Ac -1.363 5.164 -2.288
Ac 8.381 1.367 4.132
Ac 5.177 2.190 1.602
Ac 5.280 3.408 5.144
Ac 1.722 3.342 -0.684
Ac 2.737 5.178 2.731
Ac 1.698 1.371 2.655
Ac 5.154 5.259 -0.610
Nd 7.277 2.283 -1.299
Nd 2.372 6.535 -2.683
Nd -2.937 6.728 4.704
Nd -0.052 6.610 0.666
Nd 5.483 0.467 7.584
Y -0.776 4.272 3.215
```

Properties
- ΔH_f (0 K) (eV/atom) = 0.13

***

No. 10
# Ni3HI

A relaxed Ni3HI crystal (GGA-PBE, Alexandria via LeMat-Bulk).

The structure in extended XYZ format:
```
5
Lattice="-1.680 1.501 -4.136 -1.525 -4.352 -0.960 -4.128 0.996 2.038" Properties=species:S:1:pos:R:3 pbc="T T T"
I 0.000 0.000 0.000
Ni -0.762 -2.176 -0.480
Ni -2.064 0.498 1.019
Ni -0.840 0.751 -2.068
H -3.666 -0.927 -1.529
```

Properties
- energy relative to the lowest polymorph listed for this composition (eV per atom) = 1.120

***

No. 11
# Rb5Tl3I12

A relaxed Rb5Tl3I12 crystal (GGA-PBE, Alexandria via LeMat-Bulk).

The structure in extended XYZ format:
```
80
Lattice="-4.752 -17.397 3.209 1.477 2.695 -18.058 16.082 3.519 8.034" Properties=species:S:1:pos:R:3 pbc="T T T"
Tl -1.000 -11.598 -3.361
Tl -1.040 -12.762 -9.732
Tl 9.377 -2.304 -7.319
Tl 5.027 -2.693 1.558
Tl 0.047 -14.006 2.559
Tl 3.162 -3.960 -8.074
Tl 9.645 -7.224 1.260
Tl 12.760 2.822 -9.374
Tl 7.780 -8.491 -8.373
Tl 3.430 -8.880 0.504
Tl 13.847 1.578 2.917
Tl 13.807 0.414 -3.454
Rb 3.980 -0.285 -4.362
Rb 0.739 1.347 -9.029
Rb 0.000 0.000 0.000
Rb 0.598 -5.411 -2.307
Rb 5.665 -6.939 5.622
Rb -1.637 -7.351 -7.425
Rb 6.545 1.166 -10.130
Rb 10.692 -9.632 7.180
Rb 3.390 -10.045 -5.867
Rb 10.464 -3.548 4.972
Rb 2.343 -7.636 -11.787
Rb 6.404 -5.592 -3.407
Rb -2.376 -8.699 1.605
Rb 8.041 1.759 4.017
Rb 9.417 -1.140 -0.948
Rb 2.115 -1.552 -13.995
Rb 8.779 3.107 -5.012
Rb 6.262 -12.350 3.315
Rb 12.209 -5.774 -4.508
Rb 8.827 -10.900 -2.453
I -2.168 -12.311 0.319
I 6.128 -2.652 -5.861
I 0.215 -14.298 -1.352
I 0.003 -8.772 -1.408
I 9.081 -6.032 -6.124
I -0.779 -13.990 -6.012
I 6.024 -2.240 -9.359
I 3.335 1.644 -14.867
I 9.463 -5.131 -9.509
I 0.127 -10.738 -7.022
I 2.727 -10.741 -2.470
I -1.408 -11.642 -13.476
I 9.599 1.468 -8.386
I 0.528 -4.656 -5.755
I 6.583 2.028 -13.553
I 7.552 -4.573 3.260
I 3.727 -0.381 -0.842
I 0.163 -5.372 -10.179
I 1.506 -11.059 -11.581
I 1.100 -1.205 -6.184
I 11.836 -0.989 -9.560
I 4.685 -6.844 -6.605
I 6.021 -11.855 -7.371
I 11.397 -9.084 3.764
I 8.122 -4.340 -0.210
I 6.786 0.671 0.556
I 1.410 -2.101 -10.579
I 11.301 -0.125 4.766
I 0.971 -10.195 2.745
I 11.707 -9.979 -0.631
I 12.644 -5.812 3.364
I 5.256 -6.612 -10.074
I 9.081 -10.804 -5.973
I 6.224 -13.212 6.738
I 3.208 -12.652 1.571
I 14.215 0.457 6.661
I 12.279 -6.528 -1.060
I 3.344 -6.053 2.695
I 12.680 -0.447 0.207
I 10.080 -0.444 -4.345
I 9.472 -12.828 8.052
I 6.784 -8.944 2.544
I 12.804 -2.412 -5.407
I 13.586 2.806 -0.803
I 3.726 -5.152 -0.691
I 12.592 3.114 -5.463
I 6.679 -8.533 -0.954
I 14.975 1.126 -7.134
```

Properties
- ΔE_f (raw) (meV per atom) = -730

***

No. 12
# Pm2Dy8Zr

A relaxed Pm2Dy8Zr crystal (GGA-PBE, Alexandria via LeMat-Bulk).

The structure in extended XYZ format:
```
11
Lattice="-2.179 1.673 -4.144 4.250 -5.088 -4.288 -6.421 -5.274 4.229" Properties=species:S:1:pos:R:3 pbc="T T T"
Pm -0.697 -5.237 -1.748
Pm -3.653 -3.452 -2.455
Dy -0.534 -2.198 -3.589
Dy -4.449 -3.319 1.000
Dy -1.233 -2.035 -0.173
Dy 2.475 -4.134 -2.970
Dy -3.116 -6.654 -4.030
Dy 0.099 -5.370 -5.202
Dy -3.816 -6.491 -0.614
Dy -6.825 -4.555 -1.232
Zr -1.089 0.836 -2.072
```

Properties
- ΔH_f (0 K) (eV/atom) = 0.04